GGA+U YCo2O4, optimized geometry; distance to the lowest polymorph of the same formula = 0.0720 eV per atom; N(E_F) = 5.55 states/eV per cell
1.0
5.3637 -3.1469 -0.0433
5.3637 3.1469 -0.0433
3.5589 0.0000 5.0998
Y Co O
2 4 8
Cartesian
8.9438 0.0000 3.1385 Y
5.3424 0.0000 1.8747 Y
2.6818 1.5734 -0.0216 Co
0.0000 0.0000 0.0000 Co
2.6818 -1.5734 -0.0216 Co
1.7795 0.0000 2.5499 Co
7.9578 1.7609 3.8699 O
5.3186 0.0000 4.0212 O
6.3284 1.7609 1.1433 O
3.3396 0.0000 1.1719 O
8.9677 0.0000 0.9920 O
6.3284 -1.7609 1.1433 O
7.9578 -1.7609 3.8699 O
10.9467 0.0000 3.8413 O